The following is a PBE with a Hubbard U calculation of a relaxed TbTl2W3O12 crystal, from the Alexandria database.

Calculated values
VASP energy (eV per atom): -6.98
Symmetry: R-3m
Volume (Å³/atom): 17.260

Cell and atoms, written as POSCAR:
```
TbTl2W3O12
1.0
7.6959 0.1346 0.0955
3.9177 6.6254 0.0955
3.9177 2.2804 6.2214
Tb Tl W O
1 2 3 12
direct
0.0000 0.0000 0.0000
0.6644 0.6644 0.6644
0.3356 0.3356 0.3356
0.5000 0.0000 0.0000
0.0000 0.5000 0.0000
0.0000 0.0000 0.5000
0.2978 0.2978 0.9353
0.9212 0.9212 0.3592
0.3592 0.9212 0.9212
0.9353 0.2978 0.2978
0.9212 0.3592 0.9212
0.2978 0.9353 0.2978
0.7022 0.7022 0.0647
0.0788 0.0788 0.6408
0.6408 0.0788 0.0788
0.0647 0.7022 0.7022
0.0788 0.6408 0.0788
0.7022 0.0647 0.7022
```